[1]
Computed, not measured: a geometry-optimized Zr3Zn4Pd2 structure at the PBE-GGA level of DFT.

Lattice parameters (Å, degrees): 5.687 7.912 7.912 59.70 90.00 90.00
Element x y z (fractional)
Zr: 0.750 0.828 0.828
Zr: 0.250 0.828 0.828
Zr: 0.250 0.500 0.500
Zr: 0.250 0.172 0.172
Zr: 0.750 0.500 0.500
Zr: 0.750 0.172 0.172
Zn: 0.000 0.160 0.836
Zn: 0.000 0.840 0.164
Zn: 0.500 0.836 0.160
Zn: 0.000 0.837 0.494
Zn: 0.500 0.506 0.163
Zn: 0.500 0.494 0.837
Zn: 0.000 0.163 0.506
Zn: 0.500 0.164 0.840
Pd: 0.500 0.174 0.504
Pd: 0.500 0.826 0.496
Pd: 0.000 0.504 0.174
Pd: 0.000 0.496 0.826

calculated volume	307	Å³/cell
ρ	8.1	g/cm³
total DFT energy (no corrections)	-5.023	eV/atom
formation energy from the elements	-43.7	kJ per mole of atoms

[2]
Computed, not measured: a geometry-optimized ZrZnPd structure at the PBE-GGA level of DFT.

Lattice parameters (Å, degrees): 4.550 4.550 5.719 90.00 90.00 120.00
Element x y z (fractional)
Zr: 0.000 0.500 0.500
Zr: 0.000 0.500 0.000
Pd: 0.667 0.833 0.750
Pd: 0.333 0.167 0.250
Zn: 0.667 0.833 0.250
Zn: 0.333 0.167 0.750

calculated volume	103	Å³/cell
ρ	8.5	g/cm³
total DFT energy (no corrections)	-5.579	eV/atom
formation energy from the elements	-55.4	kJ per mole of atoms

[3]
Computed, not measured: a geometry-optimized ZrZn5Pd4 structure at the PBE-GGA level of DFT.

Lattice parameters (Å, degrees): 3.133 3.133 15.571 90.00 90.00 90.00
Element x y z (fractional)
Zn: 0.500 0.500 0.691
Zn: 0.500 0.500 0.309
Zn: 0.500 0.500 0.878
Zn: 0.500 0.500 0.122
Zn: 0.500 0.500 0.500
Pd: 0.000 0.000 0.595
Pd: 0.000 0.000 0.214
Pd: 0.000 0.000 0.786
Pd: 0.000 0.000 0.405
Zr: 0.000 0.000 0.000

calculated volume	153	Å³/cell
ρ	9.2	g/cm³
total DFT energy (no corrections)	-4.061	eV/atom
formation energy from the elements	-47.4	kJ per mole of atoms

[4]
Computed, not measured: a geometry-optimized Zr6ZnPd structure at the PBE-GGA level of DFT.

Lattice parameters (Å, degrees): 7.777 7.790 5.502 44.84 44.93 59.83
Element x y z (fractional)
Zr: 0.750 0.000 0.749
Zr: 0.250 0.000 0.251
Zr: 0.500 0.751 0.752
Zr: 0.500 0.249 0.248
Zr: 0.002 0.497 0.251
Zr: 0.998 0.503 0.749
Pd: 0.000 0.000 0.000
Zn: 0.500 0.500 0.500

calculated volume	166	Å³/cell
ρ	7.2	g/cm³
excess energy over the best structure of this formula in the dataset	33	meV per atom
total DFT energy (no corrections)	-7.427	eV/atom
formation energy from the elements	-20.1	kJ per mole of atoms